A plane-wave DFT calculation with PBE-GGA was carried out for an optimized crystal structure of Tm7TlS5.

Results
- Calculated density: 9.0 Mg/m³
- ΔE_f (raw): -1.566 eV/atom
- Final energy: -5.743 eV per atom
- SG: P2_1/m

a = 3.8570 Å, b = 23.0990 Å, c = 6.7134 Å
α = 90.00°, β = 106.63°, γ = 90.00°
Last column: nearest neighbours and their distance in Å.
Element x y z (fractional)
Tm1 0.0123 0.2500 0.0245  2 S 2.68
Tm2 0.1370 0.5352 0.2742  6 S 2.67-2.74
Tm3 0.1370 0.9648 0.2742  6 S 2.67-2.74
Tm4 0.3256 0.1722 0.6516  3 S 2.67-2.68
Tm5 0.3256 0.3278 0.6516  3 S 2.67-2.68
Tm6 0.4060 0.6102 0.8116  5 S 2.70-2.82
Tm7 0.4060 0.8898 0.8116  5 S 2.70-2.82
Tm8 0.5940 0.1102 0.1884  5 S 2.70-2.82
Tm9 0.5940 0.3898 0.1884  5 S 2.70-2.82
Tm10 0.6744 0.6722 0.3484  3 S 2.67-2.68
Tm11 0.6744 0.8278 0.3484  3 S 2.67-2.68
Tm12 0.8630 0.0352 0.7258  6 S 2.67-2.74
Tm13 0.8630 0.4648 0.7258  6 S 2.67-2.74
Tm14 0.9877 0.7500 0.9755  2 S 2.68
Tl1 0.3022 0.7500 0.6053  6 Tm 3.06-3.11
Tl2 0.6978 0.2500 0.3947  6 Tm 3.06-3.11
S1 0.0434 0.6383 0.0867  6 Tm 2.67-2.70
S2 0.0434 0.8617 0.0867  6 Tm 2.67-2.70
S3 0.2268 0.0702 0.4540  6 Tm 2.68-2.74
S4 0.2268 0.4298 0.4540  6 Tm 2.68-2.74
S5 0.5000 0.0000 0.0000  6 Tm 2.74-2.82
S6 0.5000 0.5000 0.0000  6 Tm 2.74-2.82
S7 0.7732 0.5702 0.5460  6 Tm 2.68-2.74
S8 0.7732 0.9298 0.5460  6 Tm 2.68-2.74
S9 0.9566 0.1383 0.9133  6 Tm 2.67-2.70
S10 0.9566 0.3617 0.9133  6 Tm 2.67-2.70